# 1
A plane-wave DFT calculation with GGA-PBE was carried out for crystalline Cr6PN at its relaxed geometry.

Cell: 4.9919 4.9919 12.9566 Å, 90.00 90.00 120.00°
Closest atoms and distances in Å follow each position.
Space group R-3 (No. 148, hexagonal axes)
One atom of each set of equivalent atoms:
Cr 0.0132 0.3993 0.4208  1 N 1.95
P 0.0000 0.0000 0.5000  6 Cr 2.21
N 0.0000 0.0000 0.0000  6 Cr 1.95

=====

# 2
A plane-wave DFT calculation with GGA-PBE was carried out for crystalline CrP2N at its relaxed geometry.

Cell: 5.0782 5.0782 7.6903 Å, 90.00 90.00 90.00°
Closest atoms and distances in Å follow each position.
Space group I-42d (No. 122)
One atom of each set of equivalent atoms:
Cr 0.0000 0.0000 0.0000  4 P 2.21
P 0.1969 0.2500 0.6250  2 N 1.88
N 0.0000 0.0000 0.5000  4 P 1.88

=====

Calculated formation energy (no corrections), 42; 358 meV/atom (same order as the records).
Calculated D(E_F), 24.48; 6.88 states/eV/cell (same order as the records).
Calculated size of the total moment, 0.00; 0.00 Bohr magnetons per cell (same order as the records).